Record 1
Below is a relaxed structure of Hg2AsPt, with properties calculated at the PBE level.

a b c (Å): 5.2737 5.2737 5.2737
angles (deg): 132.53 132.53 69.39
Closest atoms and distances in Å follow each position.
Fractional positions:
As1 0.7500 0.2500 0.5000  4 Pt 3.00, 8 Hg 3.03
Pt1 0.2500 0.7500 0.5000  4 As 3.00, 8 Hg 3.03
Hg1 0.5000 0.5000 0.0000  4 Hg 3.00, 4 As 3.03, 4 Pt 3.03
Hg2 0.0000 0.0000 0.0000  4 Hg 3.00, 4 Pt 3.03, 4 As 3.03

Calculated values
- V: 19.5 A^3/atom
- Final energy: -2.56 eV per atom

=====

Record 2
Below is a relaxed structure of HgAsPt2, with properties calculated at the PBE level.

a b c (Å): 7.0020 7.0020 7.0020
angles (deg): 30.14 30.14 30.14
Closest atoms and distances in Å follow each position.
Fractional positions:
Pt1 0.5125 0.5125 0.5125  3 As 2.54
As1 0.2500 0.2500 0.2500  6 Pt 2.54
Hg1 0.7500 0.7500 0.7500  6 Pt 2.85
Pt2 0.9875 0.9875 0.9875  3 As 2.54

Calculated values
- V: 19.2 A^3/atom
- Final energy: -4.29 eV per atom

=====

Record 3
Below is a relaxed structure of Hg2AsPt, with properties calculated at the PBE level.

a b c (Å): 6.3422 6.3422 3.9580
angles (deg): 109.49 109.49 36.39
Closest atoms and distances in Å follow each position.
Fractional positions:
Pt1 0.7500 0.7500 0.7500  2 Hg 2.78, 4 As 2.80
Hg1 0.5035 0.5035 0.5036  1 Pt 2.78, 4 Hg 2.80, 1 As 2.86
Hg2 0.9965 0.9965 0.9964  1 Pt 2.78, 4 Hg 2.80, 1 As 2.86
As1 0.2500 0.2500 0.2500  4 Pt 2.80, 2 Hg 2.86

Calculated values
- V: 22.1 A^3/atom
- Final energy: -2.61 eV per atom

=====

Record 4
Below is a relaxed structure of HgAs2Pt, with properties calculated at the PBE level.

a b c (Å): 4.5378 4.5378 6.2928
angles (deg): 71.40 71.40 49.30
Closest atoms and distances in Å follow each position.
Fractional positions:
As1 0.9141 0.9141 0.1136  3 Pt 2.45-2.53, 1 As 2.46
Pt1 0.2129 0.2129 0.1079  5 As 2.45-2.68
Hg1 0.5559 0.5559 0.4920  3 As 2.89-3.08, 2 Pt 2.98
As2 0.8171 0.8171 0.7864  1 As 2.46, 2 Pt 2.68

Calculated values
- V: 23.0 A^3/atom
- Final energy: -3.89 eV per atom

=====

Record 5
Below is a relaxed structure of HgAs2Pt, with properties calculated at the PBE level.

a b c (Å): 7.2218 7.2218 7.2218
angles (deg): 29.46 29.46 29.46
Closest atoms and distances in Å follow each position.
Fractional positions:
As1 0.0070 0.0070 0.0070  3 Pt 2.52, 3 As 2.75
Hg1 0.4979 0.4979 0.4979  3 As 2.84, 3 Pt 2.85
Pt1 0.7390 0.7390 0.7390  3 As 2.52
As2 0.2560 0.2560 0.2560  3 As 2.75, 3 Hg 2.84

Calculated values
- V: 20.2 A^3/atom
- Final energy: -3.84 eV per atom

=====

Record 6
Below is a relaxed structure of HgAs2Pt2, with properties calculated at the PBE level.

a b c (Å): 4.1492 4.1492 7.8395
angles (deg): 74.65 74.65 90.00
Closest atoms and distances in Å follow each position.
Fractional positions:
Hg1 0.0000 0.0000 0.0000  8 As 3.68
As1 0.6531 0.6531 0.6938  4 Pt 2.51
Pt1 0.2500 0.7500 0.5000  4 As 2.51
As2 0.3469 0.3469 0.3062  4 Pt 2.51
Pt2 0.7500 0.2500 0.5000  4 As 2.51

Calculated values
- V: 25.0 A^3/atom
- Final energy: -4.45 eV per atom
- Polymorph energy (0 for the lowest one): 0.000 eV per atom

=====

Record 7
Below is a relaxed structure of HgAs2Pt, with properties calculated at the PBE level.

a b c (Å): 6.6023 4.6909 3.6629
angles (deg): 89.41 57.30 119.53
Closest atoms and distances in Å follow each position.
Fractional positions:
Hg1 0.0000 0.5000 0.5000  2 Pt 2.78, 8 As 2.96-2.99
As1 0.0000 0.0000 0.0000  2 As 2.78, 4 Pt 2.96-2.99, 4 Hg 2.96-2.99
As2 0.5000 0.0000 0.5000  2 As 2.78, 4 Hg 2.96-2.99, 4 Pt 2.96-2.99
Pt1 0.5000 0.5000 0.0000  2 Hg 2.78, 8 As 2.96-2.99

Calculated values
- V: 19.2 A^3/atom
- Final energy: -3.67 eV per atom

=====

Record 8
Below is a relaxed structure of HgAs2Pt, with properties calculated at the PBE level.

a b c (Å): 4.7759 4.7759 4.7759
angles (deg): 60.00 60.00 60.00
Closest atoms and distances in Å follow each position.
Fractional positions:
Hg1 0.5000 0.5000 0.5000  4 Pt 2.92, 4 As 2.92
As1 0.2500 0.2500 0.2500  4 Hg 2.92, 4 As 2.92
As2 0.0000 0.0000 0.0000  4 As 2.92, 4 Pt 2.92
Pt1 0.7500 0.7500 0.7500  4 Hg 2.92, 4 As 2.92

Calculated values
- V: 19.3 A^3/atom
- Final energy: -3.57 eV per atom

=====

Record 9
Below is a relaxed structure of Hg2AsPt, with properties calculated at the PBE level.

a b c (Å): 9.3998 9.3998 9.3998
angles (deg): 19.53 19.53 19.53
Closest atoms and distances in Å follow each position.
Fractional positions:
As1 0.7500 0.7500 0.7500  6 Hg 3.06, 6 As 3.19
Hg1 0.5048 0.5048 0.5048  3 Pt 2.85, 3 As 3.06
Hg2 0.9952 0.9952 0.9952  3 Pt 2.85, 3 As 3.06
Pt1 0.2500 0.2500 0.2500  6 Hg 2.85

Calculated values
- V: 20.3 A^3/atom
- Final energy: -2.53 eV per atom

=====

Record 10
Below is a relaxed structure of Hg3AsPt, with properties calculated at the PBE level.

a b c (Å): 5.2934 5.2934 5.2934
angles (deg): 90.00 90.00 90.00
Closest atoms and distances in Å follow each position.
Fractional positions:
Pt1 0.0000 0.0000 0.0000  6 Hg 2.65
Hg1 0.0000 0.5000 0.0000  2 Pt 2.65
Hg2 0.0000 0.0000 0.5000  2 Pt 2.65
As1 0.5000 0.5000 0.5000  12 Hg 3.74
Hg3 0.5000 0.0000 0.0000  2 Pt 2.65

Calculated values
- V: 29.7 A^3/atom
- Final energy: -1.86 eV per atom
- Polymorph energy (0 for the lowest one): 0.000 eV per atom

=====

Record 11
Below is a relaxed structure of Hg2AsPt, with properties calculated at the PBE level.

a b c (Å): 3.1757 3.1757 8.8141
angles (deg): 90.00 90.00 90.00
Closest atoms and distances in Å follow each position.
Fractional positions:
As1 0.5000 0.5000 0.6808  4 Pt 2.57
Pt1 0.0000 0.0000 0.5390  4 As 2.57
Hg1 0.5000 0.5000 0.2840  8 Hg 3.18-3.39, 4 Pt 3.18, 1 As 3.50
Hg2 0.0000 0.0000 0.9962  8 Hg 3.18-3.39

Calculated values
- V: 22.2 A^3/atom
- Final energy: -2.82 eV per atom

=====

Record 12
Below is a relaxed structure of HgAs2Pt, with properties calculated at the PBE level.

a b c (Å): 6.1797 6.1797 6.1797
angles (deg): 152.74 132.14 55.96
Closest atoms and distances in Å follow each position.
Fractional positions:
Hg1 0.7500 0.2500 0.5000  4 Pt 2.90, 2 Hg 2.91
Pt1 0.2500 0.7500 0.5000  4 As 2.66, 4 Hg 2.90, 2 Pt 2.91
As1 0.4543 0.4543 0.0000  2 Pt 2.66, 2 As 2.91
As2 0.0457 0.0457 0.0000  2 Pt 2.66, 2 As 2.91

Calculated values
- V: 19.9 A^3/atom
- Final energy: -3.85 eV per atom